{
  "formula": "LaZnSb",
  "functional": "PBE-GGA",
  "state": "optimized geometry",
  "volume_a3_per_cell": 99.2,
  "total_magnetization_mub_per_cell": 0.0,
  "total_energy_ev_per_fu": -11.6,
  "cell": [[3.552, -2.572, -2.787], [3.123, -3.447, 2.317], [-0.599, -5.079, -0.921]],
  "species": ["La", "Zn", "Sb"],
  "frac_coords": [[0.000, 0.000, 0.000], [0.750, 0.750, 0.750], [0.250, 0.250, 0.250]]
}

=====

{
  "formula": "BeNiAsIr",
  "functional": "PBE-GGA",
  "state": "optimized geometry",
  "volume_a3_per_cell": 50.8,
  "total_magnetization_mub_per_cell": 0.0,
  "total_energy_ev_per_fu": -22.2,
  "cell": [[-2.543, -3.286, -0.088], [-2.535, -0.753, 3.206], [-4.098, 0.554, -0.416]],
  "species": ["Ir", "As", "Ni", "Be"],
  "frac_coords": [[0.500, 0.500, 0.500], [0.000, 0.000, 0.000], [0.750, 0.750, 0.750], [0.250, 0.250, 0.250]]
}

=====

{
  "formula": "Tm3Co2Si4",
  "functional": "PBE-GGA",
  "state": "optimized geometry",
  "volume_a3_per_cell": 153.7,
  "total_magnetization_mub_per_cell": 0.0,
  "total_energy_ev_per_fu": -56.3,
  "cell": [[5.155, -2.008, 0.000], [5.155, 2.008, 0.000], [-2.220, 0.000, 7.422]],
  "species": ["Si", "Si", "Si", "Si", "Tm", "Tm", "Tm", "Co", "Co"],
  "frac_coords": [[0.717, 0.717, 0.579], [0.899, 0.899, 0.094], [0.283, 0.283, 0.421], [0.101, 0.101, 0.906], [0.619, 0.619, 0.194], [0.381, 0.381, 0.806], [0.000, 0.000, 0.500], [0.309, 0.309, 0.132], [0.691, 0.691, 0.868]]
}

=====

{
  "formula": "FeNiAgBi",
  "functional": "PBE-GGA",
  "state": "optimized geometry",
  "volume_a3_per_cell": 67.0,
  "total_magnetization_mub_per_cell": 2.7,
  "total_energy_ev_per_fu": -19.3,
  "cell": [[-3.565, -1.901, 2.109], [-4.223, 1.465, -0.893], [-2.884, -2.647, -2.335]],
  "species": ["Bi", "Fe", "Ag", "Ni"],
  "frac_coords": [[0.000, 0.000, 0.000], [0.750, 0.750, 0.750], [0.500, 0.500, 0.500], [0.250, 0.250, 0.250]]
}

=====

{
  "formula": "ScFeNiAs",
  "functional": "PBE-GGA",
  "state": "optimized geometry",
  "volume_a3_per_cell": 55.6,
  "total_magnetization_mub_per_cell": 2.5,
  "total_energy_ev_per_fu": -25.9,
  "cell": [[0.000, 3.029, 3.029], [3.029, 0.000, 3.029], [3.029, 3.029, 0.000]],
  "species": ["As", "Fe", "Ni", "Sc"],
  "frac_coords": [[0.000, 0.000, 0.000], [0.250, 0.250, 0.250], [0.500, 0.500, 0.500], [0.750, 0.750, 0.750]]
}

=====

{
  "formula": "Lu2Hf4Ni3N3",
  "functional": "PBE-GGA",
  "state": "optimized geometry",
  "volume_a3_per_cell": 354.8,
  "total_magnetization_mub_per_cell": 0.0,
  "total_energy_ev_per_fu": -103.0,
  "cell": [[5.521, 0.000, 0.000], [-2.758, 4.783, 0.000], [-2.674, -1.644, 13.438]],
  "species": ["N", "N", "N", "N", "N", "N", "Ni", "Ni", "Ni", "Ni", "Ni", "Ni", "Hf", "Hf", "Hf", "Hf", "Hf", "Hf", "Hf", "Hf", "Lu", "Lu", "Lu", "Lu"],
  "frac_coords": [[0.000, 0.500, 0.000], [0.332, 0.164, 0.000], [0.664, 0.332, 0.500], [0.000, 0.000, 0.500], [0.336, 0.668, 0.500], [0.668, 0.836, 0.000], [0.835, 0.099, 0.250], [0.678, 0.928, 0.750], [0.651, 0.415, 0.750], [0.322, 0.072, 0.250], [0.165, 0.901, 0.750], [0.349, 0.585, 0.250], [0.612, 0.976, 0.408], [0.068, 0.204, 0.092], [0.932, 0.796, 0.908], [0.604, 0.140, 0.908], [0.396, 0.860, 0.092], [0.732, 0.696, 0.592], [0.268, 0.304, 0.408], [0.388, 0.024, 0.592], [0.078, 0.376, 0.620], [0.922, 0.624, 0.380], [0.744, 0.542, 0.120], [0.256, 0.458, 0.880]]
}

=====

{
  "formula": "AcHgGe",
  "functional": "PBE-GGA",
  "state": "optimized geometry",
  "volume_a3_per_cell": 94.2,
  "total_magnetization_mub_per_cell": 0.0,
  "total_energy_ev_per_fu": -9.9,
  "cell": [[0.000, 3.612, 3.612], [3.612, 0.000, 3.612], [3.612, 3.612, 0.000]],
  "species": ["Ge", "Ac", "Hg"],
  "frac_coords": [[0.750, 0.750, 0.750], [0.250, 0.250, 0.250], [0.000, 0.000, 0.000]]
}

=====

{
  "formula": "Ta2CdPt",
  "functional": "PBE-GGA",
  "state": "optimized geometry",
  "volume_a3_per_cell": 71.7,
  "total_magnetization_mub_per_cell": 1.1,
  "formation_energy_ev_per_atom": 0.167,
  "cell": [[0.000, 3.297, 3.297], [3.297, 0.000, 3.297], [3.297, 3.297, 0.000]],
  "species": ["Ta", "Ta", "Pt", "Cd"],
  "frac_coords": [[0.000, 0.000, 0.000], [0.250, 0.250, 0.250], [0.750, 0.750, 0.750], [0.500, 0.500, 0.500]]
}

=====

{
  "formula": "TmSb2",
  "functional": "PBE-GGA",
  "state": "optimized geometry",
  "volume_a3_per_cell": 601.2,
  "total_magnetization_mub_per_cell": 0.0,
  "total_energy_ev_per_fu": -10.8,
  "cell": [[4.737, 2.735, 7.735], [-4.737, 2.735, 7.735], [0.000, -5.470, 7.735]],
  "species": ["Sb", "Sb", "Sb", "Sb", "Tm", "Tm"],
  "frac_coords": [[0.375, 0.875, 0.375], [0.375, 0.375, 0.375], [0.375, 0.375, 0.875], [0.875, 0.375, 0.375], [0.250, 0.250, 0.250], [0.500, 0.500, 0.500]]
}

=====

{
  "formula": "ScSiMo2",
  "functional": "PBE-GGA",
  "state": "optimized geometry",
  "volume_a3_per_cell": 63.4,
  "total_magnetization_mub_per_cell": 0.0,
  "total_energy_ev_per_fu": -34.3,
  "cell": [[3.008, -3.099, 1.178], [2.142, 0.334, 3.917], [-0.923, -2.871, 3.308]],
  "species": ["Sc", "Si", "Mo", "Mo"],
  "frac_coords": [[0.250, 0.250, 0.250], [0.500, 0.500, 0.500], [0.750, 0.750, 0.750], [0.000, 0.000, 0.000]]
}

=====

{
  "formula": "HoPb2O4",
  "functional": "PBE-GGA",
  "state": "optimized geometry",
  "volume_a3_per_cell": 244.2,
  "total_magnetization_mub_per_cell": 2.0,
  "total_energy_ev_per_fu": -43.8,
  "cell": [[-5.119, 2.701, 3.965], [6.666, 1.878, 1.121], [-3.330, 2.171, -5.781]],
  "species": ["O", "O", "O", "O", "O", "O", "O", "O", "Pb", "Pb", "Pb", "Pb", "Ho", "Ho"],
  "frac_coords": [[0.126, 0.751, 0.375], [0.625, 0.751, 0.375], [0.125, 0.251, 0.376], [0.624, 0.749, 0.875], [0.625, 0.249, 0.375], [0.625, 0.249, 0.874], [0.125, 0.749, 0.875], [0.125, 0.251, 0.875], [0.875, 0.250, 0.625], [0.375, 0.750, 0.625], [0.375, 0.250, 0.625], [0.375, 0.750, 0.125], [0.750, 0.500, 0.250], [0.000, 0.000, 0.000]]
}

=====

{
  "formula": "Li2Nb2Si3",
  "functional": "PBE-GGA",
  "state": "optimized geometry",
  "volume_a3_per_cell": 198.8,
  "total_magnetization_mub_per_cell": 0.0,
  "total_energy_ev_per_fu": -41.6,
  "cell": [[1.798, -8.442, 0.000], [1.798, 8.442, 0.000], [0.000, 0.000, 6.547]],
  "species": ["Li", "Li", "Li", "Li", "Nb", "Nb", "Nb", "Nb", "Si", "Si", "Si", "Si", "Si", "Si"],
  "frac_coords": [[0.311, 0.689, 0.062], [0.311, 0.689, 0.437], [0.689, 0.311, 0.937], [0.689, 0.311, 0.563], [0.150, 0.850, 0.250], [0.949, 0.051, 0.250], [0.051, 0.949, 0.750], [0.850, 0.150, 0.750], [0.562, 0.438, 0.067], [0.767, 0.233, 0.250], [0.233, 0.767, 0.750], [0.438, 0.562, 0.567], [0.562, 0.438, 0.433], [0.438, 0.562, 0.933]]
}